# 1
## Tb5Pr2Sm (PBE)

Data for a geometry-optimized Tb5Pr2Sm structure.

abc: 7.211 14.424 5.104
angles: 90.00 90.00 90.00
Positions (direct):
Tb  0.000  0.000  0.000
Tb  0.001  0.250  0.000
Tb  0.249  0.625  0.500
Tb  0.251  0.125  0.500
Tb  0.499  0.750  0.000
Tb  0.500  0.500  0.000
Tb  0.501  0.250  0.000
Tb  0.749  0.875  0.500
Tb  0.751  0.375  0.500
Tb  0.999  0.750  0.000
Pr  0.249  0.875  0.500
Pr  0.251  0.375  0.500
Pr  0.749  0.625  0.500
Pr  0.751  0.125  0.500
Sm  0.000  0.500  0.000
Sm  0.500  0.000  0.000

Final energy in eV/atom: -4.66
Symmetry: No. 55
Mass density in g/cm³: 7.674
E above lowest polymorph in eV per atom: 0.0000


# 2
## Tb7Pr3Sm (PBE)

Data for a geometry-optimized Tb7Pr3Sm structure.

abc: 7.132 7.132 8.773
angles: 90.00 90.00 120.00
Positions (direct):
Tb  0.000  0.000  0.000
Tb  0.166  0.332  0.678
Tb  0.166  0.834  0.678
Tb  0.501  0.001  0.003
Tb  0.501  0.499  0.003
Tb  0.668  0.834  0.678
Tb  0.999  0.499  0.003
Pr  0.333  0.166  0.340
Pr  0.834  0.166  0.340
Pr  0.834  0.667  0.340
Sm  0.667  0.333  0.680

Final energy in eV/atom: -4.51
Symmetry: No. 156
Mass density in g/cm³: 7.242
E above lowest polymorph in eV per atom: 0.0330